Material: Hf3RuS
Method: DFT, GGA-PBEsol
State: relaxed

Formation energy from raw total energies, eV per atom: 0.35
D(E_F), states/eV/cell: 4.312

Unit cell a=4.8893 b=4.8893 c=4.8893 alpha=90.00 beta=90.00 gamma=90.00
With the nearest neighbours (Å) after each atom.
Element x y z (fractional)
Ru 0.0000 0.0000 0.0000  6 Hf 2.44
Hf 0.0000 0.5000 0.0000  2 Ru 2.44
S 0.5000 0.5000 0.5000  12 Hf 3.46
Hf 0.0000 0.0000 0.5000  2 Ru 2.44
Hf 0.5000 0.0000 0.0000  2 Ru 2.44

Material: K2HgW
Method: DFT, GGA-PBEsol
State: relaxed

D(E_F), states/eV/cell: 3.508
DFT formation energy, meV per atom: 1053

Unit cell a=3.0067 b=3.0067 c=12.2775 alpha=82.97 beta=82.97 gamma=60.00
With the nearest neighbours (Å) after each atom.
Element x y z (fractional)
W 0.5000 0.5000 0.5000  6 W 3.01
K 0.7516 0.7516 0.7452  6 K 3.01
Hg 0.0000 0.0000 0.0000  6 Hg 3.01
K 0.2484 0.2484 0.2548  6 K 3.01

Material: TlHgW2
Method: DFT, GGA-PBEsol
State: relaxed

Distance to the lowest polymorph of the same formula, meV/atom: 31.6
D(E_F), states/eV/cell: 2.576
DFT formation energy, meV per atom: 993

Unit cell a=4.1490 b=4.1490 c=5.0778 alpha=114.11 beta=114.11 gamma=90.00
With the nearest neighbours (Å) after each atom.
Element x y z (fractional)
W 0.7500 0.2500 0.5000  4 W 2.93, 4 Hg 2.93, 4 Tl 2.93
Tl 0.2500 0.7500 0.5000  8 W 2.93, 4 Hg 2.93
W 0.0000 0.0000 0.0000  4 Tl 2.93, 4 W 2.93, 4 Hg 2.93
Hg 0.5000 0.5000 0.0000  4 Tl 2.93, 8 W 2.93

Material: TiGe3N
Method: DFT, GGA-PBEsol
State: relaxed

Formation energy from raw total energies, eV per atom: 1.33
D(E_F), states/eV/cell: 2.024

Unit cell a=4.8365 b=4.8365 c=4.8365 alpha=90.00 beta=90.00 gamma=90.00
With the nearest neighbours (Å) after each atom.
Element x y z (fractional)
Ge 0.0000 0.0000 0.5000  2 Ti 2.42
Ge 0.0000 0.5000 0.0000  2 Ti 2.42
Ti 0.0000 0.0000 0.0000  6 Ge 2.42
Ge 0.5000 0.0000 0.0000  2 Ti 2.42
N 0.5000 0.5000 0.5000  12 Ge 3.42

Material: CsMgH2
Method: DFT, GGA-PBEsol
State: relaxed

Raw total energy, eV/atom: -1.92
D(E_F), states/eV/cell: 0.916

Unit cell a=4.8623 b=4.8623 c=4.8623 alpha=60.00 beta=60.00 gamma=60.00
With the nearest neighbours (Å) after each atom.
Element x y z (fractional)
H 0.7500 0.7500 0.7500  4 Mg 2.98, 4 Cs 2.98
H 0.2500 0.2500 0.2500  4 Mg 2.98, 4 Cs 2.98
Cs 0.5000 0.5000 0.5000  8 H 2.98
Mg 0.0000 0.0000 0.0000  8 H 2.98

Material: CrAg3Rh
Method: DFT, GGA-PBEsol
State: relaxed

D(E_F), states/eV/cell: 6.248
DFT formation energy, meV per atom: 1642

Unit cell a=4.6800 b=4.6800 c=4.6800 alpha=90.00 beta=90.00 gamma=90.00
With the nearest neighbours (Å) after each atom.
Element x y z (fractional)
Ag 0.0000 0.0000 0.5000  2 Cr 2.34
Cr 0.0000 0.0000 0.0000  6 Ag 2.34
Ag 0.5000 0.0000 0.0000  2 Cr 2.34
Ag 0.0000 0.5000 0.0000  2 Cr 2.34
Rh 0.5000 0.5000 0.5000  12 Ag 3.31